# MnCrP2O | Alexandria | GGA+U | relaxed
data_MnCrP2O
_chemical_formula_sum 'Mn1 Cr1 P2 O1'
_symmetry_space_group_name_H-M 'P 1'
_symmetry_Int_Tables_number 1
_symmetry_space_group_name_Hall 'P 1'
_cell_length_a 4.833
_cell_length_b 4.833
_cell_length_c 3.519
_cell_angle_alpha 90.00
_cell_angle_beta 90.00
_cell_angle_gamma 90.00
loop_
_atom_site_label
_atom_site_fract_x
_atom_site_fract_y
_atom_site_fract_z
Mn1 0.000 0.000 0.000
Cr1 0.500 0.500 0.500
P1 0.000 0.500 0.500
P2 0.500 0.000 0.500
O1 0.500 0.500 0.000
# Fermi-level density of states: 1.8 states/eV/cell
# crystal system: tetragonal
# SG: P4/mmm (123)
# total moment: 5.8 μB/f.u.
# raw total energy: -30.411 eV per cell
# energy above the lowest structure with this stoichiometry: 0.000 eV/atom